A plane-wave DFT calculation with GGA-PBE was carried out for crystalline SiRhPb2 at its relaxed geometry.

Cell: 3.277 3.313 8.602 Å, 67.28 90.00 90.00°
Atoms (fractional coordinates):
Pb (0.000, 0.975, 0.025)
Pb (0.000, 0.525, 0.475)
Rh (0.500, 0.250, 0.250)
Si (0.500, 0.750, 0.750)

Summary:
Formation energy without anion corrections = 0.323 eV per atom
V = 86 Å³/f.u.